No. 1
Ce2TeH2S | PBE | optimized geometry

Lattice parameters (Å, degrees): 4.0268 4.0268 8.0449 90.00 90.00 120.00
Space group P-3m1 (No. 164)
Inequivalent atoms, fractional coordinates:
Ce1 0.3333 0.6667 0.2228
Te1 0.0000 0.0000 0.5000
H1 0.3333 0.6667 0.7665
S1 0.0000 0.0000 0.0000

Properties
As for the calculated density: 6.50 g/cm3. The electronic total energy is -5.590 eV per atom.

---

No. 2
Ce5Sb2H4 | PBE | optimized geometry

Lattice parameters (Å, degrees): 11.6152 6.3689 7.1300 90.00 126.60 90.00
Space group C2/m (No. 12)
Inequivalent atoms, fractional coordinates:
Ce1 0.0000 0.0000 0.0000
Ce2 0.1872 0.2252 0.7044
Sb1 0.0263 0.5000 0.2360
H1 0.0153 0.0000 0.3673
H2 0.2025 0.0000 0.0055

Properties
As for the calculated density: 7.44 g/cm3. The electronic total energy is -5.117 eV per atom.

---

No. 3
Ce5Sb4H | PBE | optimized geometry

Lattice parameters (Å, degrees): 9.8269 9.8269 6.3204 90.00 90.00 90.00
Space group I4 (No. 79)
Inequivalent atoms, fractional coordinates:
Ce1 0.0000 0.0000 0.0000
Ce2 0.0992 0.7108 0.5602
Sb1 0.0939 0.6985 0.0606
H1 0.0000 0.0000 0.6103

Properties
As for the calculated density: 6.47 g/cm3. The electronic total energy is -5.724 eV per atom.

---

No. 4
Ce2Sb3H4 | PBE | optimized geometry

Lattice parameters (Å, degrees): 3.8508 5.8204 7.9383 100.37 103.97 109.29
Space group P-1 (No. 2)
Inequivalent atoms, fractional coordinates:
Ce1 0.1242 0.4674 0.2813
Sb1 0.0000 0.0000 0.5000
Sb2 0.3015 0.9662 0.1370
H1 0.3265 0.5754 0.5773
H2 0.3977 0.4653 0.8303

Properties
As for the calculated density: 6.90 g/cm3. The electronic total energy is -4.588 eV per atom.

---

No. 5
Ce3SbH2 | PBE | optimized geometry

Lattice parameters (Å, degrees): 20.7478 3.9900 6.2501 90.00 104.61 90.00
Space group C2/m (No. 12)
Inequivalent atoms, fractional coordinates:
Ce1 0.0165 0.0000 0.2979
Ce2 0.0805 0.5000 0.8509
Ce3 0.2243 0.0000 0.7416
Sb1 0.1362 0.5000 0.3911
H1 0.1376 0.0000 0.9061
H2 0.2054 0.5000 0.9052

Properties
As for the calculated density: 7.22 g/cm3. The electronic total energy is -5.228 eV per atom.

---

No. 6
Ce2SbH2 | PBE | optimized geometry

Lattice parameters (Å, degrees): 6.1763 10.3321 11.7698 90.00 90.00 90.00
Space group Fddd (No. 70, origin choice 2)
Inequivalent atoms, fractional coordinates:
Ce1 0.1250 0.3066 0.1250
Sb1 0.1250 0.1250 0.6250
H1 0.1250 0.1250 0.0087

Properties
As for the calculated density: 7.15 g/cm3. The electronic total energy is -5.246 eV per atom.